# TaMn2AlZn (PBE, optimized geometry)
data_TaMn2AlZn
_space_group_name_H-M_alt 'P 4/m m m'
_space_group_IT_number 123
_space_group_name_Hall '-P 4 2'
_cell_length_a 4.497
_cell_length_b 4.497
_cell_length_c 4.988
_cell_angle_alpha 90.00
_cell_angle_beta 90.00
_cell_angle_gamma 90.00
loop_
_atom_site_label
_atom_site_fract_x
_atom_site_fract_y
_atom_site_fract_z
Ta1 0.000 0.000 0.000
Mn1 0.000 0.500 0.000
Al1 0.000 0.000 0.500
Zn1 0.500 0.500 0.500
# **DOS at the Fermi energy**: 1.505 states/eV/atom
# **Calculated total energy**: -27.43 eV for the cell shown
# **Total magnetic moment**: 0.155 μB per atom
# **E_form**: 1.557 eV/atom